<i>
Below is crystalline CsRhNF2 at its relaxed geometry, with properties calculated at the PBE level.

Cell lengths 5.235, 5.235, 4.772 Å; angles 90.00, 90.00, 90.00 degrees
Space group P4/mmm (No. 123)
Unique sites:
Cs  0.000  0.000  0.000
Rh  0.500  0.500  0.500
N  0.000  0.000  0.500
F  0.000  0.500  0.000

Output
**DOS at the Fermi energy**: 6.5 states/eV per cell

---

<ii>
Below is crystalline CsRhNF2 at its relaxed geometry, with properties calculated at the PBE level.

Cell lengths 4.708, 4.708, 3.710 Å; angles 90.00, 90.00, 90.00 degrees
Space group P4/mmm (No. 123)
Unique sites:
Cs  0.000  0.000  0.000
Rh  0.500  0.500  0.500
N  0.500  0.500  0.000
F  0.000  0.500  0.500

Output
**DOS at the Fermi energy**: 2.1 states/eV per cell

---

Going by the energies, <ii> is most stable and the next is 1941 meV per atom up.

---

<i>
Below is crystalline CsRhN2F at its relaxed geometry, with properties calculated at the PBE level.

Cell lengths 4.736, 4.736, 5.060 Å; angles 90.00, 90.00, 90.00 degrees
Space group P4/mmm (No. 123)
Unique sites:
Cs  0.000  0.000  0.000
Rh  0.500  0.500  0.500
N  0.000  0.500  0.000
F  0.000  0.000  0.500

Output
**DOS at the Fermi energy**: 7.4 states/eV per cell

---

<ii>
Below is crystalline CsRhN2F at its relaxed geometry, with properties calculated at the PBE level.

Cell lengths 3.813, 3.813, 7.127 Å; angles 90.00, 90.00, 90.00 degrees
Space group P4/mmm (No. 123)
Unique sites:
Cs  0.000  0.000  0.000
Rh  0.500  0.500  0.500
N  0.000  0.500  0.500
F  0.500  0.500  0.000

Output
**DOS at the Fermi energy**: 3.4 states/eV per cell

---

Going by the energies, <ii> is most stable and the next is 2264 meV per atom up.

---

<i>
Below is crystalline CsSNF2 at its relaxed geometry, with properties calculated at the PBE level.

Cell lengths 4.940, 4.940, 3.405 Å; angles 90.00, 90.00, 90.00 degrees
Space group P4/mmm (No. 123)
Unique sites:
Cs  0.000  0.000  0.000
S  0.500  0.500  0.500
N  0.500  0.500  0.000
F  0.000  0.500  0.500

Output
**DOS at the Fermi energy**: 0.9 states/eV per cell

---

<ii>
Below is crystalline CsSNF2 at its relaxed geometry, with properties calculated at the PBE level.

Cell lengths 5.241, 5.241, 4.978 Å; angles 90.00, 90.00, 90.00 degrees
Space group P4/mmm (No. 123)
Unique sites:
Cs  0.000  0.000  0.000
S  0.500  0.500  0.500
N  0.000  0.000  0.500
F  0.000  0.500  0.000

Output
**DOS at the Fermi energy**: 6.1 states/eV per cell

---

Going by the energies, <i> is most stable and the next is 1506 meV per atom up.